SrTcI2: optimized geometry, PBE.

Geometry as CIF:
```
data_SrTcI2
_cell_length_a 10.072
_cell_length_b 10.072
_cell_length_c 10.072
_cell_angle_alpha 24.55
_cell_angle_beta 24.55
_cell_angle_gamma 24.55
_symmetry_space_group_name_H-M 'P 1'
_symmetry_Int_Tables_number 1
loop_
_symmetry_equiv_pos_as_xyz
'x,y,z'
loop_
_atom_site_label
_atom_site_type_symbol
_atom_site_fract_x
_atom_site_fract_y
_atom_site_fract_z
Sr1 Sr 0.000 0.000 0.000
Tc1 Tc 0.500 0.500 0.500
I1 I 0.408 0.408 0.408
I2 I 0.592 0.592 0.592
```

Results
E_tot: -14.30 eV for the cell shown
excess energy over the best structure of this formula in the dataset: 168 meV/atom
total magnetic moment: 3.4 μB per formula unit